[1]
Crystalline ZnSeN3 at its relaxed geometry, computed with PBE-GGA.

Cell: 3.7562 3.7562 3.7562 Å, 90.00 90.00 90.00°
Last column: nearest neighbours and their distance in Å.
Fractional positions:
Zn (0.0000, 0.0000, 0.0000)  12 N 2.66
Se (0.5000, 0.5000, 0.5000)  6 N 1.88
N (0.0000, 0.5000, 0.5000)  2 Se 1.88
N (0.5000, 0.0000, 0.5000)  2 Se 1.88
N (0.5000, 0.5000, 0.0000)  2 Se 1.88

Summary:
Formation energy (no corrections)   1.901 eV/atom
SG   Pm-3m, No. 221
DFT total energy   -4.05 eV/atom
DOS at the Fermi energy   2.4 states/eV per cell
Volume   53.0 Å³/f.u.
Calculated density   5.84 Mg/m³

---

[2]
Crystalline CaZn2Pd at its relaxed geometry, computed with PBE-GGA.

Cell: 3.3979 3.3979 6.5021 Å, 90.00 90.00 90.00°
Last column: nearest neighbours and their distance in Å.
Fractional positions:
Ca (0.0000, 0.0000, 0.0000)  8 Zn 3.11, 2 Pd 3.25, 4 Ca 3.40
Zn (0.5000, 0.5000, 0.3040)  1 Zn 2.55, 4 Pd 2.72
Zn (0.5000, 0.5000, 0.6960)  1 Zn 2.55, 4 Pd 2.72
Pd (0.0000, 0.0000, 0.5000)  8 Zn 2.72

Summary:
SG   P4/mmm, No. 123
DFT total energy   -2.82 eV/atom
DOS at the Fermi energy   1.4 states/eV per cell
Volume   75.1 Å³/f.u.
Calculated density   6.13 Mg/m³
Energy relative to the elements   -0.38 eV per atom

---

[3]
Crystalline Tm3Zn2Ag4 at its relaxed geometry, computed with PBE-GGA.

Cell: 5.7382 5.7382 8.7854 Å, 115.81 115.81 47.43°
Last column: nearest neighbours and their distance in Å.
Fractional positions:
Tm (0.0000, 0.0000, 0.0000)  8 Ag 3.11-3.26, 4 Zn 3.20, 2 Tm 3.34
Tm (0.3369, 0.3369, 0.3294)  8 Ag 3.10-3.21, 4 Zn 3.14-3.17, 2 Tm 3.31-3.34
Tm (0.6631, 0.6631, 0.6706)  8 Ag 3.10-3.21, 4 Zn 3.14-3.17, 2 Tm 3.31-3.34
Zn (0.3826, 0.3826, 0.7131)  3 Ag 2.64
Zn (0.6174, 0.6174, 0.2869)  3 Ag 2.64
Ag (0.0634, 0.0634, 0.3906)  2 Zn 2.64, 1 Ag 2.81
Ag (0.2814, 0.2814, 0.9370)  1 Zn 2.64, 2 Ag 2.77
Ag (0.7186, 0.7186, 0.0630)  1 Zn 2.64, 2 Ag 2.77
Ag (0.9366, 0.9366, 0.6094)  2 Zn 2.64, 1 Ag 2.81

Summary:
SG   C2/m, No. 12
DFT total energy   -3.34 eV/atom
DOS at the Fermi energy   5.3 states/eV per cell
Volume   187.4 Å³/f.u.
Calculated density   9.47 Mg/m³
Energy relative to the elements   -0.29 eV per atom

---

[4]
Crystalline PmGeSbRh2 at its relaxed geometry, computed with PBE-GGA.

Cell: 4.1491 4.1491 7.1351 Å, 90.00 90.00 90.00°
Last column: nearest neighbours and their distance in Å.
Fractional positions:
Pm (0.0000, 0.0000, 0.0000)  4 Ge 3.08, 4 Rh 3.10, 1 Sb 3.18
Ge (0.5000, 0.5000, 0.1329)  4 Rh 2.48
Sb (0.0000, 0.0000, 0.5543)  4 Rh 2.65
Rh (0.0000, 0.5000, 0.3223)  2 Ge 2.48, 2 Sb 2.65
Rh (0.5000, 0.0000, 0.3223)  2 Ge 2.48, 2 Sb 2.65

Summary:
Formation energy (no corrections)   -0.574 eV/atom
SG   P4mm, No. 99
DFT total energy   -6.21 eV/atom
DOS at the Fermi energy   4.9 states/eV per cell
Volume   122.8 Å³/f.u.
Calculated density   7.37 Mg/m³

---

[5]
Crystalline Pu2Ni5Ge3H2 at its relaxed geometry, computed with PBE-GGA.

Cell: 11.1535 11.1535 11.1535 Å, 160.30 160.30 28.01°
Last column: nearest neighbours and their distance in Å.
Fractional positions:
Pu (0.2021, 0.2021, 0.0000)  1 H 2.67, 4 Ge 2.92
Pu (0.7979, 0.7979, 0.0000)  1 H 2.67, 4 Ge 2.92
Ni (0.0000, 0.0000, 0.0000)  2 H 1.71
Ni (0.0801, 0.5801, 0.5000)  2 H 1.91
Ni (0.4199, 0.9199, 0.5000)  2 H 1.91
Ni (0.5801, 0.0801, 0.5000)  2 H 1.91
Ni (0.9199, 0.4199, 0.5000)  2 H 1.91
Ge (0.3495, 0.3495, 0.0000)  4 Ni 2.44
Ge (0.5000, 0.5000, 0.0000)  12 Ni 2.58-2.70
Ge (0.6505, 0.6505, 0.0000)  4 Ni 2.44
H (0.0790, 0.0790, 0.0000)  5 Ni 1.71-1.91
H (0.9210, 0.9210, 0.0000)  5 Ni 1.71-1.91

Summary:
SG   I4/mmm, No. 139
DFT total energy   -6.80 eV/atom
DOS at the Fermi energy   18.7 states/eV per cell
Volume   157.6 Å³/f.u.
Calculated density   10.55 Mg/m³

---

[6]
Crystalline AlCuAs2 at its relaxed geometry, computed with PBE-GGA.

Cell: 3.5468 3.5722 11.0486 Å, 90.00 90.00 90.00°
Last column: nearest neighbours and their distance in Å.
Fractional positions:
Al (0.0000, 0.0000, 0.0000)  6 As 2.68
Al (0.5000, 0.5000, 0.5000)  6 As 2.68
Cu (0.0000, 0.5000, 0.2474)  6 As 2.54-2.64
Cu (0.5000, 0.0000, 0.7474)  6 As 2.54-2.64
As (0.0000, 0.0000, 0.5828)  2 Cu 2.54, 4 Al 2.68
As (0.0000, 0.5000, 0.8195)  4 Cu 2.64, 2 Al 2.68
As (0.5000, 0.0000, 0.3195)  4 Cu 2.64, 2 Al 2.68
As (0.5000, 0.5000, 0.0828)  2 Cu 2.54, 4 Al 2.68

Summary:
SG   Imm2, No. 44
DFT total energy   -4.17 eV/atom
DOS at the Fermi energy   3.7 states/eV per cell
Volume   70.0 Å³/f.u.
Calculated density   5.70 Mg/m³
Energy relative to the elements   0.11 eV per atom

---

[7]
Crystalline Ca2TbSb3Rh4 at its relaxed geometry, computed with PBE-GGA.

Cell: 4.3827 4.3827 11.4996 Å, 90.00 90.00 90.00°
Last column: nearest neighbours and their distance in Å.
Fractional positions:
Ca (0.0000, 0.5000, 0.2324)  4 Sb 3.32, 8 Rh 3.39-3.46
Ca (0.5000, 0.0000, 0.7677)  4 Sb 3.32, 8 Rh 3.39-3.46
Tb (0.0000, 0.0000, 0.5000)  4 Rh 2.77, 4 Sb 3.10
Sb (0.0000, 0.5000, 0.8702)  5 Rh 2.56-2.65
Sb (0.5000, 0.0000, 0.1298)  5 Rh 2.56-2.65
Sb (0.5000, 0.5000, 0.5000)  4 Rh 2.77, 4 Tb 3.10
Rh (0.0000, 0.0000, 0.0000)  4 Sb 2.65
Rh (0.0000, 0.5000, 0.6473)  3 Sb 2.56-2.77, 2 Tb 2.77
Rh (0.5000, 0.0000, 0.3527)  3 Sb 2.56-2.77, 2 Tb 2.77
Rh (0.5000, 0.5000, 0.0000)  4 Sb 2.65

Summary:
Formation energy (no corrections)   -0.772 eV/atom
SG   P-4m2, No. 115
DFT total energy   -5.81 eV/atom
DOS at the Fermi energy   6.5 states/eV per cell
Volume   220.9 Å³/f.u.
Calculated density   7.64 Mg/m³

---

[8]
Crystalline CuSi2As at its relaxed geometry, computed with PBE-GGA.

Cell: 6.2980 6.2980 6.2980 Å, 90.00 90.00 90.00°
Last column: nearest neighbours and their distance in Å.
Fractional positions:
Cu (0.0000, 0.0000, 0.0000)  8 Si 2.73
Cu (0.0000, 0.5000, 0.5000)  8 Si 2.73
Cu (0.5000, 0.0000, 0.5000)  8 Si 2.73
Cu (0.5000, 0.5000, 0.0000)  8 Si 2.73
Si (0.2500, 0.2500, 0.2500)  4 As 2.73, 4 Cu 2.73
Si (0.2500, 0.2500, 0.7500)  4 Cu 2.73, 4 As 2.73
Si (0.2500, 0.7500, 0.2500)  4 Cu 2.73, 4 As 2.73
Si (0.2500, 0.7500, 0.7500)  4 As 2.73, 4 Cu 2.73
Si (0.7500, 0.2500, 0.2500)  4 Cu 2.73, 4 As 2.73
Si (0.7500, 0.2500, 0.7500)  4 As 2.73, 4 Cu 2.73
Si (0.7500, 0.7500, 0.2500)  4 As 2.73, 4 Cu 2.73
Si (0.7500, 0.7500, 0.7500)  4 Cu 2.73, 4 As 2.73
As (0.0000, 0.0000, 0.5000)  8 Si 2.73
As (0.0000, 0.5000, 0.0000)  8 Si 2.73
As (0.5000, 0.0000, 0.0000)  8 Si 2.73
As (0.5000, 0.5000, 0.5000)  8 Si 2.73

Summary:
Formation energy (no corrections)   0.514 eV/atom
SG   Fm-3m, No. 225
DFT total energy   -4.38 eV/atom
DOS at the Fermi energy   6.4 states/eV per cell
Volume   62.5 Å³/f.u.
Energy above the lowest structure with this stoichiometry   305.9 meV/atom
Calculated density   5.18 Mg/m³